Entry A
The following is a PBE calculation of a relaxed HAuCl3 crystal, from Alexandria via LeMat-Bulk.

Summary:
Space-group type: P1, No. 1
Mass density, g/cm³: 3.026

a b c (Å): 11.920 5.604 5.969
angles (deg): 90.69 117.57 106.50
Atoms (fractional coordinates):
Au: 0.963 0.850 0.361
Cl: 0.155 0.093 0.029
Cl: 0.623 0.871 0.972
Cl: 0.392 0.676 0.403
H: 0.860 0.647 0.912
H: 0.242 0.311 0.168
Cl: 0.774 0.520 0.681
Au: 0.515 0.780 0.201
Cl: 0.853 0.142 0.247
Cl: 0.066 0.553 0.470

---

Entry B
The following is a PBE calculation of a relaxed HAuCl3 crystal, from Alexandria via LeMat-Bulk.

Summary:
Space-group type: Pm-3m, No. 221
Mass density, g/cm³: 5.749

a b c (Å): 4.446 4.446 4.446
angles (deg): 90.00 90.00 90.00
Last column: magnetic moment on the atom in μB.
Atoms (fractional coordinates):
Cl: 0.000 0.500 0.000  -0.33
H: 0.000 0.000 0.000  0.01
Cl: 0.000 0.000 0.500  -0.18
Au: 0.500 0.500 0.500  -0.15
Cl: 0.500 0.000 0.000  -0.23

---

Q: Which of them is the most stable? A: entry A.

---

Entry A
The following is a PBE calculation of a relaxed HAu2Cl crystal, from Alexandria via LeMat-Bulk.

Summary:
Space-group type: Fm-3m, No. 225
Mass density, g/cm³: 10.926

a b c (Å): 4.523 4.523 4.523
angles (deg): 60.00 60.00 60.00
Last column: magnetic moment on the atom in μB.
Atoms (fractional coordinates):
Cl: 0.500 0.500 0.500  0.02
Au: 0.750 0.750 0.750  0.02
H: 0.000 0.000 0.000  0.09
Au: 0.250 0.250 0.250  0.02

---

Entry B
The following is a PBE calculation of a relaxed HAu2Cl crystal, from Alexandria via LeMat-Bulk.

Summary:
Space-group type: I-42d, No. 122
Mass density, g/cm³: 10.464

a b c (Å): 5.425 5.425 6.021
angles (deg): 63.23 63.23 90.00
Atoms (fractional coordinates):
Au: 0.258 0.625 0.250
Au: 0.492 0.125 0.250
Au: 0.375 0.508 0.750
Cl: 0.000 0.000 0.000
Cl: 0.750 0.250 0.500
H: 0.500 0.500 0.000
H: 0.250 0.750 0.500
Au: 0.875 0.742 0.750

---

Q: Which of them is the most stable? A: entry B.

---

Entry A
The following is a PBE calculation of a relaxed HRh2AuICl crystal, from Alexandria via LeMat-Bulk.

Summary:
Space-group type: Cm, No. 8
Mass density, g/cm³: 8.074

a b c (Å): 6.892 3.303 12.072
angles (deg): 90.00 122.08 90.00
Atoms (fractional coordinates):
I: 0.289 0.000 0.984
Au: 0.848 0.500 0.646
I: 0.289 0.500 0.484
Cl: 0.666 0.000 0.350
Rh: 0.064 0.500 0.052
Cl: 0.666 0.500 0.850
Rh: 0.547 0.500 0.174
H: 0.098 0.500 0.638
Au: 0.848 0.000 0.146
H: 0.098 0.000 0.138
Rh: 0.064 0.000 0.552
Rh: 0.547 0.000 0.674

---

Entry B
The following is a PBE calculation of a relaxed HRh2AuICl crystal, from Alexandria via LeMat-Bulk.

Summary:
Space-group type: P1, No. 1
Mass density, g/cm³: 8.177

a b c (Å): 3.939 5.045 6.284
angles (deg): 109.14 96.30 98.54
Atoms (fractional coordinates):
Cl: 0.809 0.569 0.354
I: 0.436 0.204 0.701
Rh: 0.877 0.101 0.394
Au: 0.736 0.763 0.925
Rh: 0.332 0.162 0.125
H: 0.216 0.812 0.989

---

Q: Which of them is the most stable? A: entry A.

---

Entry A
The following is a PBE calculation of a relaxed KLi2HAuCl crystal, from Alexandria via LeMat-Bulk.

Summary:
Space-group type: Cm, No. 8
Mass density, g/cm³: 3.976

a b c (Å): 6.015 3.475 11.927
angles (deg): 90.00 106.32 90.00
Atoms (fractional coordinates):
Li: 0.837 0.000 0.748
Au: 0.990 0.500 0.939
Li: 0.837 0.500 0.248
Li: 0.133 0.500 0.633
H: 0.876 0.500 0.681
Au: 0.990 0.000 0.439
Li: 0.133 0.000 0.133
Cl: 0.418 0.000 0.707
Cl: 0.418 0.500 0.207
H: 0.876 0.000 0.181
K: 0.522 0.500 0.482
K: 0.522 0.000 0.982

---

Entry B
The following is a PBE calculation of a relaxed KLi2HAuCl crystal, from Alexandria via LeMat-Bulk.

Summary:
Space-group type: Amm2, No. 38
Mass density, g/cm³: 4.141

a b c (Å): 3.746 3.515 17.444
angles (deg): 90.00 90.00 90.00
Atoms (fractional coordinates):
Li: 0.500 0.000 0.021
Au: 0.000 0.500 0.953
H: 0.500 0.000 0.578
Li: 0.000 0.000 0.621
Au: 0.000 0.000 0.453
K: 0.500 0.500 0.314
H: 0.500 0.500 0.078
Li: 0.500 0.500 0.521
Li: 0.000 0.500 0.121
K: 0.500 0.000 0.814
Cl: 0.000 0.500 0.712
Cl: 0.000 0.000 0.212

---

Entry C
The following is a PBE calculation of a relaxed KLi2HAuCl crystal, from Alexandria via LeMat-Bulk.

Summary:
Space-group type: Cm, No. 8
Mass density, g/cm³: 3.735

a b c (Å): 9.727 3.904 6.706
angles (deg): 90.00 90.03 90.00
Atoms (fractional coordinates):
H: 0.706 0.500 0.122
Li: 0.887 0.500 0.120
Au: 0.034 0.000 0.285
Li: 0.887 0.000 0.620
H: 0.706 0.000 0.622
Li: 0.227 0.000 0.617
Cl: 0.342 0.500 0.451
K: 0.580 0.500 0.786
Au: 0.034 0.500 0.785
Cl: 0.342 0.000 0.951
K: 0.580 0.000 0.286
Li: 0.227 0.500 0.117

---

Entry D
The following is a PBE calculation of a relaxed KLi2HAuCl crystal, from Alexandria via LeMat-Bulk.

Summary:
Space-group type: P1, No. 1
Mass density, g/cm³: 3.422

a b c (Å): 3.538 5.467 7.813
angles (deg): 108.79 102.95 90.05
Atoms (fractional coordinates):
K: 0.558 0.023 0.621
Li: 0.285 0.076 0.082
Li: 0.755 0.553 0.021
Au: 0.135 0.603 0.777
Cl: 0.887 0.928 0.275
H: 0.742 0.215 0.000

---

Q: Which of them is the most stable? A: entry B.

---

Entry A
The following is a PBE calculation of a relaxed KLi2HAuCl crystal, from Alexandria via LeMat-Bulk.

Summary:
Space-group type: Cm, No. 8
Mass density, g/cm³: 3.790

a b c (Å): 7.160 3.794 10.732
angles (deg): 90.00 120.59 90.00
Atoms (fractional coordinates):
K: 0.452 0.500 0.859
Cl: 0.458 0.000 0.082
Au: 0.996 0.000 0.619
K: 0.452 0.000 0.359
Li: 0.838 0.000 0.212
Au: 0.996 0.500 0.119
Li: 0.073 0.000 0.932
Li: 0.838 0.500 0.712
H: 0.958 0.500 0.917
Cl: 0.458 0.500 0.582
H: 0.958 0.000 0.417
Li: 0.073 0.500 0.432

---

Entry B
The following is a PBE calculation of a relaxed KLi2HAuCl crystal, from Alexandria via LeMat-Bulk.

Summary:
Space-group type: Pm, No. 6
Mass density, g/cm³: 4.057

a b c (Å): 3.519 3.519 9.466
angles (deg): 90.00 90.05 90.00
Atoms (fractional coordinates):
Li: 0.533 0.500 0.482
H: 0.532 0.500 0.288
Au: 0.529 0.500 0.914
K: 0.032 0.000 0.197
Cl: 0.033 0.000 0.549
Li: 0.028 0.000 0.795

---

Q: Which of them is the most stable? A: entry B.

---

Entry A
The following is a PBE calculation of a relaxed KLi2HAuCl crystal, from Alexandria via LeMat-Bulk.

Summary:
Space-group type: Cm, No. 8
Mass density, g/cm³: 3.606

a b c (Å): 7.062 3.647 10.368
angles (deg): 90.00 99.01 90.00
Atoms (fractional coordinates):
Li: 0.037 0.000 0.664
Cl: 0.319 0.500 0.313
H: 0.069 0.000 0.499
K: 0.491 0.500 0.040
Au: 0.817 0.500 0.747
H: 0.069 0.500 0.999
K: 0.491 0.000 0.540
Li: 0.037 0.500 0.164
Cl: 0.319 0.000 0.813
Li: 0.043 0.000 0.926
Li: 0.043 0.500 0.426
Au: 0.817 0.000 0.247

---

Entry B
The following is a PBE calculation of a relaxed KLi2HAuCl crystal, from Alexandria via LeMat-Bulk.

Summary:
Space-group type: Pm, No. 6
Mass density, g/cm³: 3.888

a b c (Å): 4.164 3.390 8.844
angles (deg): 90.00 101.60 90.00
Atoms (fractional coordinates):
K: 0.528 0.000 0.746
Li: 0.180 0.000 0.073
Au: 0.682 0.500 0.098
Li: 0.868 0.000 0.351
Cl: 0.942 0.500 0.549
H: 0.265 0.500 0.958

---

Entry C
The following is a PBE calculation of a relaxed KLi2HAuCl crystal, from Alexandria via LeMat-Bulk.

Summary:
Space-group type: P1, No. 1
Mass density, g/cm³: 3.858

a b c (Å): 3.676 5.571 6.794
angles (deg): 69.47 88.19 71.75
Atoms (fractional coordinates):
K: 0.014 0.324 0.025
Li: 0.525 0.284 0.556
H: 0.448 0.522 0.708
Li: 0.811 0.688 0.467
Au: 0.199 0.916 0.640
Cl: 0.341 0.663 0.225

---

Q: Which of them is the most stable? A: entry B.

---

Entry A
The following is a PBE calculation of a relaxed KLi2HAuCl crystal, from Alexandria via LeMat-Bulk.

Summary:
Space-group type: Amm2, No. 38
Mass density, g/cm³: 3.867

a b c (Å): 3.812 3.787 17.041
angles (deg): 90.00 90.00 90.00
Atoms (fractional coordinates):
Li: 0.000 0.500 0.078
H: 0.500 0.500 0.469
Au: 0.500 0.500 0.957
H: 0.500 0.000 0.969
Cl: 0.000 0.500 0.668
Li: 0.000 0.500 0.446
Li: 0.000 0.000 0.946
K: 0.500 0.500 0.271
K: 0.500 0.000 0.771
Cl: 0.000 0.000 0.168
Au: 0.500 0.000 0.457
Li: 0.000 0.000 0.578

---

Entry B
The following is a PBE calculation of a relaxed KLi2HAuCl crystal, from Alexandria via LeMat-Bulk.

Summary:
Space-group type: Cm, No. 8
Mass density, g/cm³: 3.491

a b c (Å): 6.671 3.907 12.379
angles (deg): 90.00 122.38 90.00
Atoms (fractional coordinates):
Li: 0.839 0.500 0.319
Li: 0.839 0.000 0.819
K: 0.565 0.500 0.957
Au: 0.538 0.500 0.673
H: 0.857 0.000 0.970
Li: 0.100 0.000 0.134
Cl: 0.121 0.500 0.257
Li: 0.100 0.500 0.634
H: 0.857 0.500 0.470
K: 0.565 0.000 0.457
Cl: 0.121 0.000 0.757
Au: 0.538 0.000 0.173

---

Entry C
The following is a PBE calculation of a relaxed KLi2HAuCl crystal, from Alexandria via LeMat-Bulk.

Summary:
Space-group type: P4mm, No. 99
Mass density, g/cm³: 4.137

a b c (Å): 3.979 3.979 7.260
angles (deg): 90.00 90.00 90.00
Atoms (fractional coordinates):
Li: 0.500 0.000 0.161
Li: 0.000 0.500 0.161
Cl: 0.000 0.000 0.392
H: 0.500 0.500 0.166
K: 0.500 0.500 0.622
Au: 0.000 0.000 0.896

---

Entry D
The following is a PBE calculation of a relaxed KLi2HAuCl crystal, from Alexandria via LeMat-Bulk.

Summary:
Space-group type: Cm, No. 8
Mass density, g/cm³: 3.744

a b c (Å): 10.114 3.881 6.644
angles (deg): 90.00 103.03 90.00
Atoms (fractional coordinates):
Au: 0.200 0.500 0.915
K: 0.748 0.000 0.935
K: 0.748 0.500 0.435
H: 0.875 0.500 0.143
H: 0.875 0.000 0.643
Cl: 0.509 0.500 0.688
Li: 0.390 0.000 0.813
Li: 0.053 0.500 0.200
Li: 0.053 0.000 0.700
Li: 0.390 0.500 0.313
Au: 0.200 0.000 0.415
Cl: 0.509 0.000 0.188

---

Q: Which of them is the most stable? A: entry C.

---

Entry A
The following is a PBE calculation of a relaxed KLi2HAuCl crystal, from Alexandria via LeMat-Bulk.

Summary:
Space-group type: Pm, No. 6
Mass density, g/cm³: 3.834

a b c (Å): 5.803 3.580 6.276
angles (deg): 90.00 107.94 90.00
Atoms (fractional coordinates):
H: 0.956 0.000 0.951
Cl: 0.506 0.500 0.076
Au: 0.135 0.500 0.526
Li: 0.925 0.500 0.072
K: 0.631 0.000 0.510
Li: 0.244 0.000 0.884

---

Entry B
The following is a PBE calculation of a relaxed KLi2HAuCl crystal, from Alexandria via LeMat-Bulk.

Summary:
Space-group type: Cm, No. 8
Mass density, g/cm³: 4.042

a b c (Å): 6.140 3.438 11.876
angles (deg): 90.00 110.17 90.00
Atoms (fractional coordinates):
Li: 0.962 0.500 0.557
Au: 0.996 0.500 0.260
Au: 0.996 0.000 0.760
H: 0.136 0.500 0.062
H: 0.136 0.000 0.562
K: 0.510 0.000 0.230
Li: 0.245 0.500 0.935
Cl: 0.549 0.500 0.466
Li: 0.962 0.000 0.057
K: 0.510 0.500 0.730
Cl: 0.549 0.000 0.966
Li: 0.245 0.000 0.435

---

Entry C
The following is a PBE calculation of a relaxed KLi2HAuCl crystal, from Alexandria via LeMat-Bulk.

Summary:
Space-group type: Cm, No. 8
Mass density, g/cm³: 3.717

a b c (Å): 6.515 3.507 12.240
angles (deg): 90.00 113.79 90.00
Atoms (fractional coordinates):
Li: 0.925 0.000 0.107
Cl: 0.299 0.500 0.603
Cl: 0.299 0.000 0.103
K: 0.508 0.000 0.834
Li: 0.925 0.500 0.607
H: 0.818 0.000 0.507
Au: 0.971 0.500 0.286
K: 0.508 0.500 0.334
Li: 0.082 0.500 0.974
Au: 0.971 0.000 0.786
H: 0.818 0.500 0.007
Li: 0.082 0.000 0.474

---

Q: Which of them is the most stable? A: entry A.